# Cu2PBr

A geometry-optimized Cu2PBr structure (GGA-PBE, the Alexandria database).

Structure (CIF):
```
data_Cu2PBr
_symmetry_space_group_name_H-M 'C 1 2/m 1'
_symmetry_Int_Tables_number 12
_symmetry_space_group_name_Hall '-C 2y'
_cell_length_a 6.912
_cell_length_b 6.914
_cell_length_c 3.178
_cell_angle_alpha 90.00
_cell_angle_beta 92.91
_cell_angle_gamma 90.00
loop_
_atom_site_label
_atom_site_type_symbol
_atom_site_fract_x
_atom_site_fract_y
_atom_site_fract_z
Cu1 Cu 0.250 0.250 0.000
P1 P 0.000 0.000 0.000
Br1 Br 0.000 0.500 0.000
```

Calculated values
- offset from the most stable computed form (meV/atom) = 368.4
- N(E_F) (states/eV/f.u.) = 1.6
- size of the total moment (μB per formula unit) = 0.00
- DFT total energy (eV/cell) = -27.71
- formation energy (no corrections) (meV per atom) = 355

***

# Rb2TaCl

A geometry-optimized Rb2TaCl structure (GGA-PBE, the Alexandria database).

Structure (CIF):
```
data_Rb2TaCl
_symmetry_space_group_name_H-M 'F m -3 m'
_symmetry_Int_Tables_number 225
_symmetry_space_group_name_Hall '-F 4 2 3'
_cell_length_a 8.777
_cell_length_b 8.777
_cell_length_c 8.777
_cell_angle_alpha 90.00
_cell_angle_beta 90.00
_cell_angle_gamma 90.00
loop_
_atom_site_label
_atom_site_type_symbol
_atom_site_fract_x
_atom_site_fract_y
_atom_site_fract_z
Rb1 Rb 0.250 0.250 0.250
Ta1 Ta 0.000 0.000 0.000
Cl1 Cl 0.000 0.000 0.500
```

Calculated values
- offset from the most stable computed form (meV/atom) = 249.5
- N(E_F) (states/eV/f.u.) = 6.3
- size of the total moment (μB per formula unit) = 4.00
- DFT total energy (eV/cell) = -49.58
- formation energy (no corrections) (meV per atom) = 810

***

# Ca4SbTe2

A geometry-optimized Ca4SbTe2 structure (GGA-PBE, the Alexandria database).

Structure (CIF):
```
data_Ca4SbTe2
_symmetry_space_group_name_H-M 'I 41/a m d'
_symmetry_Int_Tables_number 141
_cell_length_a 9.888
_cell_length_b 9.888
_cell_length_c 9.752
_cell_angle_alpha 90.00
_cell_angle_beta 90.00
_cell_angle_gamma 90.00
loop_
_symmetry_equiv_pos_as_xyz
'x,y,z'
'-x,-y,-z'
'-y+1/4,x+3/4,z+1/4'
'y+1/4,-x+3/4,-z+1/4'
'-x+1/2,-y,z+1/2'
'x+1/2,y,-z+1/2'
'y+1/4,-x+1/4,z+3/4'
'-y+1/4,x+1/4,-z+3/4'
'x,-y,-z'
'-x,y,z'
'-y+1/4,-x+1/4,-z+3/4'
'y+1/4,x+1/4,z+3/4'
'-x+1/2,y,-z+1/2'
'x+1/2,-y,z+1/2'
'y+1/4,x+3/4,-z+1/4'
'-y+1/4,-x+3/4,z+1/4'
'x+1/2,y+1/2,z+1/2'
'-x+1/2,-y+1/2,-z+1/2'
'-y+3/4,x+1/4,z+3/4'
'y+3/4,-x+1/4,-z+3/4'
'-x,-y+1/2,z'
'x,y+1/2,-z'
'y+3/4,-x+3/4,z+1/4'
'-y+3/4,x+3/4,-z+1/4'
'x+1/2,-y+1/2,-z+1/2'
'-x+1/2,y+1/2,z+1/2'
'-y+3/4,-x+3/4,-z+1/4'
'y+3/4,x+3/4,z+1/4'
'-x,y+1/2,-z'
'x,-y+1/2,z'
'y+3/4,x+1/4,-z+3/4'
'-y+3/4,-x+1/4,z+3/4'
loop_
_atom_site_label
_atom_site_type_symbol
_atom_site_fract_x
_atom_site_fract_y
_atom_site_fract_z
Ca1 Ca 0.000 0.061 0.187
Sb1 Sb 0.000 0.250 0.875
Te1 Te 0.000 0.000 0.500
```

Calculated values
- N(E_F) (states/eV/f.u.) = 2.4
- size of the total moment (μB per formula unit) = 0.82
- DFT total energy (eV/cell) = -106.98
- formation energy (no corrections) (meV per atom) = -1190

***

# TaIn4Ni

A geometry-optimized TaIn4Ni structure (GGA-PBE, the Alexandria database).

Structure (CIF):
```
data_TaIn4Ni
_symmetry_space_group_name_H-M 'F -4 3 m'
_symmetry_Int_Tables_number 216
_symmetry_space_group_name_Hall 'F -4 2 3'
_cell_length_a 8.050
_cell_length_b 8.050
_cell_length_c 8.050
_cell_angle_alpha 90.00
_cell_angle_beta 90.00
_cell_angle_gamma 90.00
loop_
_atom_site_label
_atom_site_type_symbol
_atom_site_fract_x
_atom_site_fract_y
_atom_site_fract_z
Ta1 Ta 0.000 0.000 0.000
In1 In 0.125 0.125 0.625
Ni1 Ni 0.250 0.250 0.250
```

Calculated values
- formation enthalpy at 0 K (eV per atom) = 0.853
- N(E_F) (states/eV/f.u.) = 7.8
- size of the total moment (μB per formula unit) = 1.41
- DFT total energy (eV/cell) = -93.88